Entry 1:
Below is an optimized crystal structure of Li2NpTl3S6, with properties calculated at the GGA-PBE level.

- Space group: C2/m, No. 12

a = 6.729 Å, b = 6.729 Å, c = 7.581 Å
α = 98.14°, β = 98.14°, γ = 119.98°
Fractional positions:
Tl: 0.500 0.500 0.500
S: 0.762 0.762 0.206
S: 0.238 0.238 0.794
Np: 0.000 0.000 0.000
Li: 0.334 0.666 0.000
S: 0.372 0.066 0.192
S: 0.628 0.934 0.808
Li: 0.666 0.334 0.000
S: 0.934 0.628 0.808
Tl: 0.169 0.831 0.500
S: 0.066 0.372 0.192
Tl: 0.831 0.169 0.500



Entry 2:
Below is an optimized crystal structure of Li3Np2TlS6, with properties calculated at the GGA-PBE level.

- Space group: C2/m, No. 12

a = 3.974 Å, b = 9.110 Å, c = 8.187 Å
α = 98.43°, β = 104.05°, γ = 90.00°
Site moments in Bohr magnetons follow the coordinates.
Fractional positions:
Li: 0.151 0.728 0.302  0.00
Np: 0.167 0.341 0.333  3.27
Tl: 0.500 0.000 0.000  -0.01
S: 0.663 0.551 0.327  -0.10
Li: 0.849 0.272 0.698  0.00
Li: 0.500 0.500 0.000  0.00
S: 0.996 0.715 0.991  -0.10
S: 0.695 0.163 0.389  -0.10
S: 0.337 0.449 0.673  -0.10
Np: 0.833 0.659 0.667  3.27
S: 0.305 0.837 0.611  -0.10
S: 0.004 0.285 0.009  -0.10



| no. | size of the total moment (μB/cell) | uncorrected formation energy (eV per atom) |
| --- | --- | --- |
| 1 | 0.000 | -0.77 |
| 2 | 6.000 | -1.16 |